Here is a relaxed Sm2Mn2Se2O5 crystal from Alexandria. Energies are from PBE+U.

## Properties
As for the crystal system: monoclinic. As for the total energy: -6.966 eV per atom.

abc: 3.918 3.918 12.372
angles: 99.05 99.05 90.00
Each line ends with the local moment (μB).
Fractional coordinates of all 11 atoms:
O (0.000, 0.000, 0.000)  -0.24
O (0.099, 0.599, 0.197)  -0.12
O (0.401, 0.901, 0.803)  -0.12
O (0.599, 0.099, 0.197)  -0.12
O (0.901, 0.401, 0.803)  -0.12
Mn (0.076, 0.076, 0.151)  3.88
Mn (0.924, 0.924, 0.849)  3.88
Se (0.210, 0.210, 0.422)  -0.24
Se (0.790, 0.790, 0.578)  -0.24
Sm (0.347, 0.347, 0.694)  0.00
Sm (0.653, 0.653, 0.306)  0.00